As2IrSeF after structural relaxation. Source: Alexandria, functional PBE.

Unit cell a=4.269 b=4.269 c=4.830 alpha=90.00 beta=90.00 gamma=90.00
Fractional coordinates of all 5 atoms:
As (0.500, 0.000, 0.000)
Se (0.000, 0.000, 0.500)
As (0.000, 0.500, 0.000)
Ir (0.500, 0.500, 0.500)
F (0.000, 0.000, 0.000)

## Properties
N(E_F), states/eV/atom: 0.53
Symmetry: P4/mmm, No. 123
Calculated total energy, eV per cell: -20.1
Magnetic moment, μB/f.u.: 0.000
Energy above the most stable polymorph in this dataset, eV per formula unit: 1.44